(1)
Below is a relaxed CePrIn2 crystal, with properties calculated at the PBE level.

Cell: 3.5295 3.5295 9.1761 Å, 90.00 90.00 90.00°
Fractional coordinates of all 4 atoms:
Ce 0.0000 0.0000 0.0000
Pr 0.0000 0.0000 0.5000
In 0.5000 0.5000 0.2472
In 0.5000 0.5000 0.7528

Total magnetization (μB/cell): 1.09
Crystal system: tetragonal
Energy of formation (eV per formula unit): -1.66
Mass density (g/cm³): 7.4

(2)
Below is a relaxed CePr9In2 crystal, with properties calculated at the PBE level.

Cell: 5.0376 5.0376 15.4525 Å, 90.00 90.00 90.00°
Fractional coordinates of all 12 atoms:
Ce 0.0000 0.0000 0.0000
Pr 0.0000 0.5000 0.1716
Pr 0.0000 0.5000 0.5000
Pr 0.0000 0.5000 0.8284
Pr 0.5000 0.0000 0.1716
Pr 0.5000 0.0000 0.5000
Pr 0.5000 0.0000 0.8284
Pr 0.5000 0.5000 0.0000
Pr 0.5000 0.5000 0.3373
Pr 0.5000 0.5000 0.6627
In 0.0000 0.0000 0.3372
In 0.0000 0.0000 0.6628

Total magnetization (μB/cell): 0.89
Crystal system: tetragonal
Energy of formation (eV per formula unit): -1.82
Mass density (g/cm³): 6.9

(3)
Below is a relaxed CePr7In4 crystal, with properties calculated at the PBE level.

Cell: 8.0072 8.0072 10.8670 Å, 120.91 120.91 42.63°
Fractional coordinates of all 12 atoms:
Ce 0.0000 0.0000 0.0000
Pr 0.0634 0.0634 0.3945
Pr 0.2044 0.2044 0.8824
Pr 0.2794 0.2794 0.3384
Pr 0.5000 0.5000 0.0000
Pr 0.7206 0.7206 0.6616
Pr 0.7956 0.7956 0.1176
Pr 0.9366 0.9366 0.6055
In 0.3203 0.3203 0.6663
In 0.4430 0.4430 0.2465
In 0.5570 0.5570 0.7535
In 0.6797 0.6797 0.3337

Total magnetization (μB/cell): 1.27
Crystal system: monoclinic
Energy of formation (eV per formula unit): -1.64
Mass density (g/cm³): 6.7

(4)
Below is a relaxed CePr2In crystal, with properties calculated at the PBE level.

Cell: 11.4625 11.4625 11.4625 Å, 18.19 18.19 18.19°
Fractional coordinates of all 4 atoms:
Ce 0.0000 0.0000 0.0000
Pr 0.5802 0.5802 0.5802
Pr 0.7541 0.7541 0.7541
In 0.1671 0.1671 0.1671

Total magnetization (μB/cell): 1.03
Crystal system: trigonal
Energy of formation (eV per formula unit): -0.23
Mass density (g/cm³): 7.0

(5)
Below is a relaxed CePrIn2 crystal, with properties calculated at the PBE level.

Cell: 5.8076 5.8076 3.5065 Å, 90.00 90.00 104.27°
Fractional coordinates of all 4 atoms:
Ce 0.0000 0.0000 0.0000
Pr 0.5000 0.5000 0.0000
In 0.0000 0.5000 0.5000
In 0.5000 0.0000 0.5000

Total magnetization (μB/cell): 1.14
Crystal system: orthorhombic
Energy of formation (eV per formula unit): -1.64
Mass density (g/cm³): 7.4

(6)
Below is a relaxed CePr2In crystal, with properties calculated at the PBE level.

Cell: 3.6831 3.6831 9.1718 Å, 90.00 90.00 90.00°
Fractional coordinates of all 4 atoms:
Ce 0.0000 0.0000 0.0000
Pr 0.5000 0.5000 0.2649
Pr 0.5000 0.5000 0.7351
In 0.0000 0.0000 0.5000

Total magnetization (μB/cell): 0.40
Crystal system: tetragonal
Energy of formation (eV per formula unit): -0.69
Mass density (g/cm³): 7.2

(7)
Below is a relaxed Ce2PrIn crystal, with properties calculated at the PBE level.

Cell: 3.4201 3.4201 10.2383 Å, 90.00 90.00 90.00°
Fractional coordinates of all 4 atoms:
Ce 0.0000 0.0000 0.2292
Ce 0.0000 0.0000 0.7708
Pr 0.5000 0.5000 0.5000
In 0.5000 0.5000 0.0000

Total magnetization (μB/cell): 1.90
Crystal system: tetragonal
Energy of formation (eV per formula unit): -0.33
Mass density (g/cm³): 7.4

(8)
Below is a relaxed Ce2PrIn crystal, with properties calculated at the PBE level.

Cell: 4.7892 4.7892 5.0810 Å, 90.00 90.00 90.00°
Fractional coordinates of all 4 atoms:
Ce 0.0000 0.5000 0.0000
Ce 0.5000 0.0000 0.0000
Pr 0.0000 0.0000 0.5000
In 0.5000 0.5000 0.5000

Total magnetization (μB/cell): 1.87
Crystal system: tetragonal
Energy of formation (eV per formula unit): -0.77
Mass density (g/cm³): 7.6

(9)
Below is a relaxed CePrIn6 crystal, with properties calculated at the PBE level.

Cell: 6.8182 6.8182 5.2452 Å, 90.00 90.00 120.00°
Fractional coordinates of all 8 atoms:
Ce 0.0000 0.0000 0.0000
Pr 0.6667 0.3333 0.5000
In 0.0198 0.5099 0.0000
In 0.1744 0.3487 0.5000
In 0.1744 0.8256 0.5000
In 0.4901 0.5099 0.0000
In 0.4901 0.9802 0.0000
In 0.6513 0.8256 0.5000

Total magnetization (μB/cell): 0.85
Crystal system: hexagonal
Energy of formation (eV per formula unit): -3.19
Mass density (g/cm³): 7.6

(10)
Below is a relaxed CePrIn2 crystal, with properties calculated at the PBE level.

Cell: 5.0284 5.0284 4.5534 Å, 90.00 90.00 90.00°
Fractional coordinates of all 4 atoms:
Ce 0.0000 0.0000 0.0000
Pr 0.5000 0.5000 0.0000
In 0.0000 0.5000 0.5000
In 0.5000 0.0000 0.5000

Total magnetization (μB/cell): 1.21
Crystal system: tetragonal
Energy of formation (eV per formula unit): -1.60
Mass density (g/cm³): 7.4

(11)
Below is a relaxed Ce2Pr2In7 crystal, with properties calculated at the PBE level.

Cell: 7.0750 7.0750 7.5154 Å, 90.00 90.00 103.12°
Fractional coordinates of all 11 atoms:
Ce 0.2001 0.7999 0.0000
Ce 0.7999 0.2001 0.0000
Pr 0.3195 0.3195 0.5000
Pr 0.6805 0.6805 0.5000
In 0.0000 0.0000 0.3035
In 0.0000 0.0000 0.6965
In 0.0000 0.5000 0.2993
In 0.0000 0.5000 0.7007
In 0.5000 0.0000 0.2993
In 0.5000 0.0000 0.7007
In 0.5000 0.5000 0.0000

Total magnetization (μB/cell): 2.23
Crystal system: orthorhombic
Energy of formation (eV per formula unit): 0.60
Mass density (g/cm³): 6.2

(12)
Below is a relaxed CePr4In2 crystal, with properties calculated at the PBE level.

Cell: 6.1673 6.1673 6.5757 Å, 97.93 97.93 113.56°
Fractional coordinates of all 7 atoms:
Ce 0.0000 0.0000 0.0000
Pr 0.0000 0.5000 0.0000
Pr 0.1896 0.8104 0.5000
Pr 0.5000 0.0000 0.0000
Pr 0.8104 0.1896 0.5000
In 0.4378 0.4378 0.7315
In 0.5622 0.5622 0.2685

Total magnetization (μB/cell): 0.78
Crystal system: monoclinic
Energy of formation (eV per formula unit): 0.02
Mass density (g/cm³): 7.0

(13)
Below is a relaxed CePr5In4 crystal, with properties calculated at the PBE level.

Cell: 8.3243 9.3334 8.9416 Å, 90.00 90.00 90.00°
Fractional coordinates of all 20 atoms:
Ce 0.2500 0.2500 0.1654
Ce 0.7500 0.7500 0.8346
Pr 0.0060 0.5537 0.2301
Pr 0.0060 0.9463 0.2301
Pr 0.2500 0.7500 0.5808
Pr 0.4940 0.5537 0.2301
Pr 0.4940 0.9463 0.2301
Pr 0.5060 0.0537 0.7699
Pr 0.5060 0.4463 0.7699
Pr 0.7500 0.2500 0.4192
Pr 0.9940 0.0537 0.7699
Pr 0.9940 0.4463 0.7699
In 0.0871 0.7500 0.9385
In 0.2500 0.0929 0.4927
In 0.2500 0.4071 0.4927
In 0.4129 0.7500 0.9385
In 0.5871 0.2500 0.0615
In 0.7500 0.5929 0.5073
In 0.7500 0.9071 0.5073
In 0.9129 0.2500 0.0615

Total magnetization (μB/cell): 2.31
Crystal system: orthorhombic
Energy of formation (eV per formula unit): -1.07
Mass density (g/cm³): 6.2

(14)
Below is a relaxed CePr5In4 crystal, with properties calculated at the PBE level.

Cell: 3.6674 3.6674 22.4370 Å, 90.00 90.00 90.00°
Fractional coordinates of all 10 atoms:
Ce 0.0000 0.0000 0.0000
Pr 0.5000 0.5000 0.1083
Pr 0.5000 0.5000 0.3035
Pr 0.5000 0.5000 0.5000
Pr 0.5000 0.5000 0.6965
Pr 0.5000 0.5000 0.8917
In 0.0000 0.0000 0.2046
In 0.0000 0.0000 0.4016
In 0.0000 0.0000 0.5984
In 0.0000 0.0000 0.7954

Total magnetization (μB/cell): 0.34
Crystal system: tetragonal
Energy of formation (eV per formula unit): -3.67
Mass density (g/cm³): 7.2

(15)
Below is a relaxed CePrIn2 crystal, with properties calculated at the PBE level.

Cell: 10.3658 10.3658 10.3658 Å, 20.92 20.92 20.92°
Fractional coordinates of all 4 atoms:
Ce 0.0000 0.0000 0.0000
Pr 0.5000 0.5000 0.5000
In 0.2506 0.2506 0.2506
In 0.7494 0.7494 0.7494

Total magnetization (μB/cell): 0.87
Crystal system: trigonal
Energy of formation (eV per formula unit): -0.85
Mass density (g/cm³): 6.8

(16)
Below is a relaxed Ce2Pr5In4 crystal, with properties calculated at the PBE level.

Cell: 12.2767 12.2767 12.2767 Å, 163.51 136.58 46.74°
Fractional coordinates of all 11 atoms:
Ce 0.1132 0.1132 0.0000
Ce 0.8868 0.8868 0.0000
Pr 0.0000 0.5000 0.5000
Pr 0.1512 0.8427 0.3085
Pr 0.4658 0.1573 0.3085
Pr 0.5342 0.8427 0.6915
Pr 0.8488 0.1573 0.6915
In 0.2478 0.2478 0.0000
In 0.3298 0.0000 0.3298
In 0.6702 0.0000 0.6702
In 0.7522 0.7522 0.0000

Total magnetization (μB/cell): 0.00
Crystal system: orthorhombic
Energy of formation (eV per formula unit): 1.92
Mass density (g/cm³): 6.7

(17)
Below is a relaxed CePr2In crystal, with properties calculated at the PBE level.

Cell: 12.3587 12.3587 12.3587 Å, 16.06 16.06 16.06°
Fractional coordinates of all 4 atoms:
Ce 0.0000 0.0000 0.0000
Pr 0.0914 0.0914 0.0914
Pr 0.9086 0.9086 0.9086
In 0.5000 0.5000 0.5000

Total magnetization (μB/cell): 0.73
Crystal system: trigonal
Energy of formation (eV per formula unit): 0.31
Mass density (g/cm³): 7.1

(18)
Below is a relaxed CePrIn6 crystal, with properties calculated at the PBE level.

Cell: 4.7233 4.7233 9.4469 Å, 90.00 90.00 90.00°
Fractional coordinates of all 8 atoms:
Ce 0.0000 0.0000 0.0000
Pr 0.0000 0.0000 0.5000
In 0.0000 0.5000 0.2478
In 0.0000 0.5000 0.7522
In 0.5000 0.0000 0.2478
In 0.5000 0.0000 0.7522
In 0.5000 0.5000 0.0000
In 0.5000 0.5000 0.5000

Total magnetization (μB/cell): 0.67
Crystal system: tetragonal
Energy of formation (eV per formula unit): -3.58
Mass density (g/cm³): 7.6

(19)
Below is a relaxed Ce6PrIn2 crystal, with properties calculated at the PBE level.

Cell: 9.4943 9.4943 3.1474 Å, 90.00 90.00 120.00°
Fractional coordinates of all 9 atoms:
Ce 0.0000 0.3527 0.0000
Ce 0.0000 0.6473 0.0000
Ce 0.3527 0.0000 0.0000
Ce 0.3527 0.3527 0.0000
Ce 0.6473 0.0000 0.0000
Ce 0.6473 0.6473 0.0000
Pr 0.0000 0.0000 0.5000
In 0.3333 0.6667 0.5000
In 0.6667 0.3333 0.5000

Total magnetization (μB/cell): 2.35
Crystal system: hexagonal
Energy of formation (eV per formula unit): -1.06
Mass density (g/cm³): 8.2

(20)
Below is a relaxed CePr2In2Rh5 crystal, with properties calculated at the PBE level.

Cell: 10.5048 10.5048 3.7592 Å, 90.00 90.00 90.00°
Fractional coordinates of all 20 atoms:
Ce 0.0000 0.0000 0.0000
Ce 0.5000 0.5000 0.0000
Pr 0.1681 0.3319 0.0000
Pr 0.3319 0.8319 0.0000
Pr 0.6681 0.1681 0.0000
Pr 0.8319 0.6681 0.0000
In 0.1293 0.6293 0.0000
In 0.3707 0.1293 0.0000
In 0.6293 0.8707 0.0000
In 0.8707 0.3707 0.0000
Rh 0.0000 0.5000 0.5000
Rh 0.0596 0.8032 0.5000
Rh 0.1968 0.0596 0.5000
Rh 0.3032 0.5596 0.5000
Rh 0.4404 0.3032 0.5000
Rh 0.5000 0.0000 0.5000
Rh 0.5596 0.6968 0.5000
Rh 0.6968 0.4404 0.5000
Rh 0.8032 0.9404 0.5000
Rh 0.9404 0.1968 0.5000

Total magnetization (μB/cell): 0.00
Crystal system: tetragonal
Energy of formation (eV per formula unit): -5.32
Mass density (g/cm³): 9.3